[1]
This record from the Alexandria database describes a relaxed PrIn4Pd2 crystal. The functional is PBE.

As for the density of states at the Fermi level: 13.5 states/eV/cell. Its energy above the most stable polymorph in this dataset is 2 kJ/mol of formula units.

It has space group Pnma (No. 62), with a = 18.736 Å, b = 4.643 Å, c = 7.203 Å, α = 90.00°, β = 90.00° and γ = 90.00°. The asymmetric unit holds Pr at (0.141, 0.250, 0.017), In at (0.034, 0.750, 0.846), In at (0.071, 0.250, 0.497), In at (0.185, 0.750, 0.317), In at (0.192, 0.750, 0.730), Pd at (0.039, 0.750, 0.245) and Pd at (0.217, 0.250, 0.528).

[2]
This record from the Alexandria database describes a relaxed NdAl11Ru crystal. The functional is PBE.

As for the density of states at the Fermi level: 9.5 states/eV/cell.

It has space group C2/m (No. 12), with a = 5.222 Å, b = 12.644 Å, c = 7.217 Å, α = 90.00°, β = 109.64° and γ = 90.00°. The asymmetric unit holds Nd at (0.000, 0.000, 0.000), Al at (0.000, 0.000, 0.500), Al at (0.111, 0.390, 0.229), Al at (0.190, 0.174, 0.361), Al at (0.250, 0.250, 0.000) and Ru at (0.000, 0.500, 0.500).

[3]
This record from the Alexandria database describes a relaxed Tm2AlHg2 crystal. The functional is PBE.

As for the density of states at the Fermi level: 9.1 states/eV/cell.

It has space group Ibam (No. 72), with a = 6.571 Å, b = 12.892 Å, c = 6.035 Å, α = 90.00°, β = 90.00° and γ = 90.00°. The asymmetric unit holds Tm at (0.201, 0.152, 0.000), Al at (0.000, 0.500, 0.250) and Hg at (0.248, 0.382, 0.000).

[4]
This record from the Alexandria database describes a relaxed Sm4SnPd2 crystal. The functional is PBE.

As for the density of states at the Fermi level: 18.9 states/eV/cell.

It has space group R-3m (No. 166, hexagonal axes), with a = 4.8609 Å, b = 4.8609 Å, c = 29.4645 Å, α = 90.00°, β = 90.00° and γ = 120.00°. The asymmetric unit holds Sm at (0.0000, 0.0000, 0.1162), Sm at (0.0000, 0.0000, 0.2975), Sn at (0.0000, 0.0000, 0.5000) and Pd at (0.0000, 0.0000, 0.4002).

| no. | energy relative to the elements (eV per atom) |
| --- | --- |
| 1 | -0.57 |
| 2 | -0.28 |
| 3 | -0.28 |
| 4 | -0.56 |